Pr4Sm3Er2 | PBE | optimized geometry

Cell: 3.639 3.639 27.129 Å, 90.00 90.00 120.00°
Fractional coordinates of all 9 atoms:
Pr 0.000 0.000 0.000
Pr 0.000 0.000 0.220
Pr 0.333 0.667 0.335
Pr 0.333 0.667 0.557
Sm 0.000 0.000 0.445
Sm 0.333 0.667 0.108
Sm 0.333 0.667 0.771
Er 0.000 0.000 0.664
Er 0.000 0.000 0.873

Its energy relative to the elements is 60 kJ/mol of formula units. The total magnetization comes out at 0.00 μB/f.u. Its space group is No. 156.